--- a ---
First-principles (PBE-GGA) data for an optimized crystal structure of Sc3CdMo, as listed in the Alexandria database.

Cell: 5.060 5.060 5.060 Å, 90.00 90.00 90.00°
Fractional coordinates of all 5 atoms:
Cd (0.500, 0.500, 0.500)
Sc (0.000, 0.500, 0.000)
Sc (0.000, 0.000, 0.500)
Sc (0.500, 0.000, 0.000)
Mo (0.000, 0.000, 0.000)

Results
For the total moment, the calculation gives 0.0 μB/f.u. Its space group is Pm-3m, No. 221. For the density of states at the Fermi level, the calculation gives 6.518 states/eV per cell.

--- b ---
First-principles (PBE-GGA) data for an optimized crystal structure of Sc3CdMo, as listed in the Alexandria database.

Cell: 5.198 5.198 5.198 Å, 90.00 90.00 90.00°
Last column: magnetic moment on the atom in μB.
Fractional coordinates of all 5 atoms:
Cd (0.000, 0.000, 0.000)  -0.02
Sc (0.000, 0.500, 0.000)  -0.14
Sc (0.000, 0.000, 0.500)  -0.04
Sc (0.500, 0.000, 0.000)  -0.24
Mo (0.500, 0.500, 0.500)  2.97

Results
For the total moment, the calculation gives 2.8 μB/f.u. Its space group is Pm-3m, No. 221. For the density of states at the Fermi level, the calculation gives 8.508 states/eV per cell.

Q: Which of them is the most stable? A: a.

--- a ---
First-principles (PBE-GGA) data for an optimized crystal structure of Sc2Cd2Mo, as listed in the Alexandria database.

Cell: 3.991 3.991 7.332 Å, 74.21 74.21 90.00°
Fractional coordinates of all 5 atoms:
Mo (0.000, 0.000, 0.000)
Cd (0.595, 0.595, 0.810)
Cd (0.405, 0.405, 0.190)
Sc (0.750, 0.250, 0.500)
Sc (0.250, 0.750, 0.500)

Results
For the total moment, the calculation gives 0.0 μB/f.u. Its space group is I4/mmm, No. 139. For the density of states at the Fermi level, the calculation gives 8.002 states/eV per cell.

--- b ---
First-principles (PBE-GGA) data for an optimized crystal structure of Sc2Cd2Mo, as listed in the Alexandria database.

Cell: 7.946 7.946 3.285 Å, 90.00 90.00 90.00°
Fractional coordinates of all 10 atoms:
Sc (0.178, 0.678, 0.500)
Sc (0.322, 0.178, 0.500)
Sc (0.822, 0.322, 0.500)
Sc (0.678, 0.822, 0.500)
Cd (0.375, 0.875, 0.000)
Cd (0.625, 0.125, 0.000)
Cd (0.125, 0.375, 0.000)
Cd (0.875, 0.625, 0.000)
Mo (0.000, 0.000, 0.000)
Mo (0.500, 0.500, 0.000)

Results
For the total moment, the calculation gives 0.0 μB/f.u. Its space group is P4/mbm, No. 127. For the density of states at the Fermi level, the calculation gives 12.642 states/eV per cell.

Q: Which of them is the most stable? A: b.

--- a ---
First-principles (PBE-GGA) data for an optimized crystal structure of Cd2MoSe, as listed in the Alexandria database.

Cell: 8.083 8.083 6.347 Å, 50.45 50.45 90.00°
Last column: magnetic moment on the atom in μB.
Fractional coordinates of all 8 atoms:
Cd (0.142, 0.625, 0.250)  0.00
Cd (0.875, 0.858, 0.750)  0.00
Cd (0.608, 0.125, 0.250)  0.00
Cd (0.375, 0.392, 0.750)  0.00
Mo (0.750, 0.250, 0.500)  2.88
Mo (0.000, 0.000, 0.000)  2.88
Se (0.250, 0.750, 0.500)  0.06
Se (0.500, 0.500, 0.000)  0.06

Results
For the total moment, the calculation gives 3.5 μB/f.u. Its space group is I-42d, No. 122. For the density of states at the Fermi level, the calculation gives 5.416 states/eV per cell.

--- b ---
First-principles (PBE-GGA) data for an optimized crystal structure of Cd2MoSe, as listed in the Alexandria database.

Cell: 2.993 2.993 10.910 Å, 90.00 90.00 114.94°
Fractional coordinates of all 4 atoms:
Cd (0.000, 0.000, 0.029)
Cd (0.500, 0.500, 0.283)
Mo (0.000, 0.000, 0.509)
Se (0.500, 0.500, 0.679)

Results
For the total moment, the calculation gives 0.0 μB/f.u. Its space group is Cmm2, No. 35. For the density of states at the Fermi level, the calculation gives 2.196 states/eV per cell.

Q: Which of them is the most stable? A: b.

--- a ---
First-principles (PBE-GGA) data for an optimized crystal structure of Cd2MoSe, as listed in the Alexandria database.

Cell: 3.095 3.095 8.679 Å, 90.00 90.00 90.00°
Fractional coordinates of all 4 atoms:
Cd (0.000, 0.000, 0.016)
Cd (0.500, 0.500, 0.284)
Se (0.500, 0.500, 0.680)
Mo (0.000, 0.000, 0.520)

Results
For the total moment, the calculation gives 0.0 μB/f.u. Its space group is P4mm, No. 99. For the density of states at the Fermi level, the calculation gives 2.860 states/eV per cell.

--- b ---
First-principles (PBE-GGA) data for an optimized crystal structure of Cd2MoSe, as listed in the Alexandria database.

Cell: 7.526 7.526 4.113 Å, 74.20 74.20 22.69°
Fractional coordinates of all 4 atoms:
Se (0.750, 0.750, 0.750)
Mo (0.250, 0.250, 0.250)
Cd (0.937, 0.937, 0.063)
Cd (0.563, 0.563, 0.437)

Results
For the total moment, the calculation gives 0.0 μB/f.u. Its space group is C2/m, No. 12. For the density of states at the Fermi level, the calculation gives 2.476 states/eV per cell.

--- c ---
First-principles (PBE-GGA) data for an optimized crystal structure of Cd2MoSe, as listed in the Alexandria database.

Cell: 5.259 5.259 3.245 Å, 90.01 90.01 118.97°
Fractional coordinates of all 4 atoms:
Cd (0.500, 0.500, 0.000)
Cd (0.000, 0.000, 0.000)
Mo (0.500, 0.000, 0.500)
Se (0.000, 0.500, 0.500)

Results
For the total moment, the calculation gives 0.0 μB/f.u. Its space group is Cmmm, No. 65. For the density of states at the Fermi level, the calculation gives 3.830 states/eV per cell.

--- d ---
First-principles (PBE-GGA) data for an optimized crystal structure of Cd2MoSe, as listed in the Alexandria database.

Cell: 6.501 6.501 6.501 Å, 152.27 135.63 53.13°
Fractional coordinates of all 4 atoms:
Mo (0.477, 0.477, 0.000)
Cd (0.691, 0.191, 0.500)
Cd (0.017, 0.017, 0.000)
Se (0.315, 0.815, 0.500)

Results
For the total moment, the calculation gives 0.0 μB/f.u. Its space group is Imm2, No. 44. For the density of states at the Fermi level, the calculation gives 1.404 states/eV per cell.

Q: Which of them is the most stable? A: a.

--- a ---
First-principles (PBE-GGA) data for an optimized crystal structure of Cd2Mo2Se, as listed in the Alexandria database.

Cell: 8.705 8.705 2.750 Å, 90.00 90.00 90.00°
Fractional coordinates of all 10 atoms:
Se (0.500, 0.500, 0.000)
Se (0.000, 0.000, 0.000)
Cd (0.307, 0.807, 0.000)
Cd (0.807, 0.693, 0.000)
Cd (0.693, 0.193, 0.000)
Cd (0.193, 0.307, 0.000)
Mo (0.402, 0.098, 0.500)
Mo (0.098, 0.598, 0.500)
Mo (0.598, 0.902, 0.500)
Mo (0.902, 0.402, 0.500)

Results
For the total moment, the calculation gives 0.0 μB/f.u. Its space group is P4/mbm, No. 127. For the density of states at the Fermi level, the calculation gives 7.759 states/eV per cell.

--- b ---
First-principles (PBE-GGA) data for an optimized crystal structure of Cd2Mo2Se, as listed in the Alexandria database.

Cell: 3.568 3.568 8.667 Å, 78.12 78.12 90.00°
Fractional coordinates of all 5 atoms:
Se (0.000, 0.000, 0.000)
Mo (0.250, 0.750, 0.500)
Mo (0.750, 0.250, 0.500)
Cd (0.400, 0.400, 0.200)
Cd (0.600, 0.600, 0.800)

Results
For the total moment, the calculation gives 0.0 μB/f.u. Its space group is I4/mmm, No. 139. For the density of states at the Fermi level, the calculation gives 3.031 states/eV per cell.

Q: Which of them is the most stable? A: b.

--- a ---
First-principles (PBE-GGA) data for an optimized crystal structure of Cd3MoSe, as listed in the Alexandria database.

Cell: 5.318 5.318 5.318 Å, 90.00 90.00 90.00°
Last column: magnetic moment on the atom in μB.
Fractional coordinates of all 5 atoms:
Cd (0.500, 0.000, 0.000)  -0.01
Cd (0.000, 0.500, 0.000)  -0.01
Cd (0.000, 0.000, 0.500)  0.00
Mo (0.500, 0.500, 0.500)  3.73
Se (0.000, 0.000, 0.000)  0.04

Results
For the total moment, the calculation gives 4.7 μB/f.u. Its space group is Pm-3m, No. 221. For the density of states at the Fermi level, the calculation gives 2.940 states/eV per cell.

--- b ---
First-principles (PBE-GGA) data for an optimized crystal structure of Cd3MoSe, as listed in the Alexandria database.

Cell: 5.420 5.420 5.420 Å, 90.00 90.00 90.00°
Last column: magnetic moment on the atom in μB.
Fractional coordinates of all 5 atoms:
Se (0.500, 0.500, 0.500)  0.03
Cd (0.500, 0.000, 0.000)  0.04
Cd (0.000, 0.500, 0.000)  0.02
Cd (0.000, 0.000, 0.500)  0.02
Mo (0.000, 0.000, 0.000)  2.69

Results
For the total moment, the calculation gives 3.5 μB/f.u. Its space group is Pm-3m, No. 221. For the density of states at the Fermi level, the calculation gives 5.649 states/eV per cell.

Q: Which of them is the most stable? A: b.